Record 1
First-principles (PBE) data for crystalline K3Au at its relaxed geometry, as listed in Alexandria.

a b c (Å): 6.907 6.907 6.907
angles (deg): 90.00 90.00 90.00
Element x y z (fractional)
K (0.250, 0.500, 0.000)
Au (0.500, 0.500, 0.500)
K (0.500, 0.000, 0.750)
Au (0.000, 0.000, 0.000)
K (0.000, 0.250, 0.500)
K (0.500, 0.000, 0.250)
K (0.000, 0.750, 0.500)
K (0.750, 0.500, 0.000)

Calculated values
The value obtained for the final energy is -13.5 eV/cell. The calculated formation energy is -0.051 eV per atom. The space group is No. 223.



Record 2
First-principles (PBE) data for crystalline Na2SiPW at its relaxed geometry, as listed in Alexandria.

a b c (Å): 5.269 4.581 5.269
angles (deg): 90.00 90.00 90.00
Last column: magnetic moment on the atom in μB.
Element x y z (fractional)
P (0.000, 0.000, 0.000)  0.08
Na (0.000, 0.000, 0.500)  0.01
Si (0.000, 0.500, 0.000)  -0.03
W (0.500, 0.500, 0.500)  3.33
Na (0.500, 0.000, 0.000)  0.01

Calculated values
The value obtained for the final energy is -19.7 eV/cell. For the formation energy without anion corrections, the calculation gives 1.34 eV/atom. The space group is No. 123.